Entry 1:
Entry from Alexandria via LeMat-Bulk: an optimized crystal structure of LiCoCu2 (PBE).

Lattice parameters (Å, degrees): 5.175 7.281 2.465 90.00 90.00 90.00
Sites, in units of the cell vectors:
Li: 0.000 0.000 0.000
Li: 0.500 0.500 0.000
Co: 0.000 0.500 0.000
Co: 0.500 0.000 0.000
Cu: 0.250 0.250 0.500
Cu: 0.250 0.750 0.500
Cu: 0.750 0.250 0.500
Cu: 0.750 0.750 0.500



Entry 2:
Entry from Alexandria via LeMat-Bulk: an optimized crystal structure of Li2CoCu2 (PBE).

Lattice parameters (Å, degrees): 6.902 6.902 2.581 90.00 90.00 90.00
Sites, in units of the cell vectors:
Li: 0.171 0.329 0.000
Li: 0.329 0.829 0.000
Li: 0.671 0.171 0.000
Li: 0.829 0.671 0.000
Co: 0.000 0.000 0.500
Co: 0.500 0.500 0.500
Cu: 0.130 0.630 0.500
Cu: 0.370 0.130 0.500
Cu: 0.630 0.870 0.500
Cu: 0.870 0.370 0.500



Entry 3:
Entry from Alexandria via LeMat-Bulk: an optimized crystal structure of LiCoCu2 (PBE).

Lattice parameters (Å, degrees): 5.726 5.726 5.726 90.00 90.00 90.00
Sites, in units of the cell vectors:
Li: 0.000 0.000 0.000
Li: 0.000 0.500 0.500
Li: 0.500 0.000 0.500
Li: 0.500 0.500 0.000
Co: 0.250 0.250 0.750
Co: 0.250 0.750 0.250
Co: 0.750 0.250 0.250
Co: 0.750 0.750 0.750
Cu: 0.000 0.000 0.500
Cu: 0.000 0.500 0.000
Cu: 0.250 0.250 0.250
Cu: 0.250 0.750 0.750
Cu: 0.500 0.000 0.000
Cu: 0.500 0.500 0.500
Cu: 0.750 0.250 0.750
Cu: 0.750 0.750 0.250



Entry 4:
Entry from Alexandria via LeMat-Bulk: an optimized crystal structure of LiCoCu2 (PBE).

Lattice parameters (Å, degrees): 3.447 3.447 17.152 90.00 90.00 90.00
Sites, in units of the cell vectors:
Li: 0.000 0.000 0.000
Li: 0.000 0.500 0.250
Li: 0.500 0.000 0.750
Li: 0.500 0.500 0.500
Co: 0.000 0.000 0.500
Co: 0.000 0.500 0.750
Co: 0.500 0.000 0.250
Co: 0.500 0.500 0.000
Cu: 0.248 0.250 0.625
Cu: 0.250 0.748 0.875
Cu: 0.250 0.752 0.375
Cu: 0.252 0.250 0.125
Cu: 0.748 0.750 0.125
Cu: 0.750 0.248 0.375
Cu: 0.750 0.252 0.875
Cu: 0.752 0.750 0.625



Entry 5:
Entry from Alexandria via LeMat-Bulk: an optimized crystal structure of Li3CoCu (PBE).

Lattice parameters (Å, degrees): 4.493 4.493 4.493 90.00 90.00 90.00
Sites, in units of the cell vectors:
Li: 0.000 0.000 0.500
Li: 0.000 0.500 0.000
Li: 0.500 0.000 0.000
Co: 0.000 0.000 0.000
Cu: 0.500 0.500 0.500



Entry 6:
Entry from Alexandria via LeMat-Bulk: an optimized crystal structure of LiCoCu2 (PBE).

Lattice parameters (Å, degrees): 3.595 3.595 7.254 90.00 90.00 90.00
Sites, in units of the cell vectors:
Li: 0.000 0.000 0.000
Li: 0.500 0.500 0.500
Co: 0.000 0.500 0.750
Co: 0.500 0.000 0.250
Cu: 0.000 0.000 0.500
Cu: 0.000 0.500 0.250
Cu: 0.500 0.000 0.750
Cu: 0.500 0.500 0.000



Entry 7:
Entry from Alexandria via LeMat-Bulk: an optimized crystal structure of LiCoCu (PBE).

Lattice parameters (Å, degrees): 2.513 4.478 6.499 79.65 89.58 89.78
Sites, in units of the cell vectors:
Li: 0.249 0.247 0.001
Li: 0.751 0.753 0.999
Co: 0.247 0.028 0.650
Co: 0.753 0.972 0.350
Cu: 0.253 0.477 0.331
Cu: 0.747 0.523 0.669



Entry 8:
Entry from Alexandria via LeMat-Bulk: an optimized crystal structure of LiCoCu2 (PBE).

Lattice parameters (Å, degrees): 8.506 2.446 4.584 90.00 97.34 90.00
Sites, in units of the cell vectors:
Li: 0.000 0.000 0.000
Li: 0.500 0.500 0.000
Co: 0.000 0.500 0.500
Co: 0.500 0.000 0.500
Cu: 0.243 0.000 0.744
Cu: 0.257 0.500 0.256
Cu: 0.743 0.500 0.744
Cu: 0.757 0.000 0.256



The electronic total energy results, record by record, are as follows: -4.24; -3.57; -4.10; -3.86; -2.62; -4.13; -4.24; -4.18 eV per atom.
The density of states at the Fermi level results, record by record, are as follows: 0.840; 0.515; 1.954; 0.967; 0.763; 1.648; 0.711; 0.902 states/eV/atom.
The formation enthalpy at 0 K results, record by record, are as follows: 63; 258; 205; 447; 770; 170; 129; 121 meV/atom.